A relaxed structure of YMo2SeO. Source: the Alexandria database, functional PBE+U.

Results
E_tot (eV/atom): -5.099

Unit cell a=4.9452 b=4.9452 c=4.2871 alpha=90.00 beta=90.00 gamma=90.00
Closest atoms and distances in Å follow each position.
Space group P4/mmm (No. 123)
Asymmetric unit:
Y1 0.0000 0.0000 0.0000  8 Mo 3.27, 4 O 3.50
Mo1 0.0000 0.5000 0.5000  2 Se 2.47
Se1 0.5000 0.5000 0.5000  2 O 2.14
O1 0.5000 0.5000 0.0000  2 Se 2.14